Entry 1:
A relaxed InTc2As crystal, computed with PBE.

* formation enthalpy at 0 K: 34 meV/atom
* ΔE to the lowest computed polymorph: 0.0000 eV per atom

abc: 2.979 2.979 7.972
angles: 90.00 90.00 90.00
Space group P4mm (No. 99)
Symmetry-distinct sites (fractional):
In1 0.000 0.000 0.000 (multiplicity 1)
Tc1 0.000 0.000 0.451 (multiplicity 1)
Tc2 0.500 0.500 0.250 (multiplicity 1)
As1 0.500 0.500 0.655 (multiplicity 1)

=====

Entry 2:
A relaxed BeNbCr2Tc crystal, computed with PBE.

* formation enthalpy at 0 K: 1151 meV/atom

abc: 4.459 4.459 4.170
angles: 90.00 90.00 90.00
Space group P4/mmm (No. 123)
Symmetry-distinct sites (fractional):
Be1 0.000 0.000 0.000 (multiplicity 1)
Nb1 0.500 0.500 0.000 (multiplicity 1)
Cr1 0.000 0.500 0.500 (multiplicity 2)
Tc1 0.000 0.000 0.500 (multiplicity 1)

=====

Entry 3:
A relaxed RhBrCl3 crystal, computed with PBE.

* ΔE to the lowest computed polymorph: 0.0000 eV per atom
* raw formation energy: -0.382 eV/atom

abc: 8.260 14.366 5.958
angles: 90.00 129.44 90.00
Space group Cc (No. 9)
Symmetry-distinct sites (fractional):
Rh1 0.000 0.065 0.000 (multiplicity 4)
Br1 0.271 0.319 0.465 (multiplicity 4)
Cl1 0.209 0.055 0.510 (multiplicity 4)
Cl2 0.215 0.177 0.041 (multiplicity 4)
Cl3 0.294 0.444 0.989 (multiplicity 4)

=====

Entry 4:
A relaxed Ac6In5Ag crystal, computed with PBE.

* formation enthalpy at 0 K: -384 meV/atom

abc: 5.778 17.345 8.183
angles: 90.00 90.00 90.00
Space group Cmmm (No. 65)
Symmetry-distinct sites (fractional):
Ac1 0.000 0.000 0.245 (multiplicity 4)
Ac2 0.000 0.336 0.247 (multiplicity 8)
In1 0.000 0.166 0.000 (multiplicity 4)
In2 0.000 0.168 0.500 (multiplicity 4)
In3 0.000 0.500 0.500 (multiplicity 2)
Ag1 0.000 0.500 0.000 (multiplicity 2)

=====

Entry 5:
A relaxed CeTiAlPt2 crystal, computed with PBE.

* formation enthalpy at 0 K: -985 meV/atom

abc: 4.122 4.122 11.581
angles: 90.00 90.00 90.00
Space group I-4m2 (No. 119)
Symmetry-distinct sites (fractional):
Ce1 0.000 0.000 0.000 (multiplicity 2)
Ti1 0.000 0.500 0.750 (multiplicity 2)
Al1 0.000 0.500 0.250 (multiplicity 2)
Pt1 0.000 0.000 0.384 (multiplicity 4)

=====

Entry 6:
A relaxed SiNi2Cl2 crystal, computed with PBE.

* ΔE to the lowest computed polymorph: 0.0927 eV per atom
* raw formation energy: 0.546 eV/atom

abc: 7.409 7.409 2.950
angles: 90.00 90.00 90.00
Space group P4/mbm (No. 127)
Symmetry-distinct sites (fractional):
Si1 0.000 0.000 0.000 (multiplicity 2)
Ni1 0.192 0.308 0.500 (multiplicity 4)
Cl1 0.142 0.642 0.000 (multiplicity 4)

=====

| no. | total magnetization (μB per formula unit) |
| --- | --- |
| 1 | 0.0 |
| 2 | 3.1 |
| 3 | 0.8 |
| 4 | 0.0 |
| 5 | 0.7 |
| 6 | 1.0 |